VASP calculation (GGA-PBE) on crystalline Rb2SrMgBr6 at its relaxed geometry.

The structure in POSCAR format:
```
Rb2SrMgBr6
1.0
8.0326 0.0000 0.0000
0.0000 8.0326 0.0000
4.0163 4.0163 5.6797
Br Rb Mg Sr
6 2 1 1
Direct
0.7363 0.2637 0.0000 Br
0.7363 0.7363 0.0000 Br
0.7363 0.7363 0.5274 Br
0.2637 0.2637 0.4726 Br
0.2637 0.2637 0.0000 Br
0.2637 0.7363 0.0000 Br
0.2500 0.7500 0.5000 Rb
0.7500 0.2500 0.5000 Rb
0.5000 0.5000 0.0000 Mg
0.0000 0.0000 0.0000 Sr
```

Computed properties:
Formation energy from raw total energies: -17.588 eV per formula unit
Polymorph energy (0 for the lowest one): 19.7 meV per atom
E: -3.284 eV/atom
Calculated volume: 36.65 A^3/atom
Calculated density: 3.454 g/cm3
Density of states at the Fermi level: 0.000 states/eV per atom
Crystal system: cubic